Entry from Alexandria: LiSi2Mo at its PBEsol-relaxed geometry (meta-GGA SCAN).

a = 3.665 Å, b = 3.665 Å, c = 4.594 Å
α = 113.51°, β = 113.51°, γ = 90.00°
Sites, in units of the cell vectors:
Mo1 0.500 0.500 0.000
Si1 0.750 0.250 0.500
Si2 0.250 0.750 0.500
Li1 0.000 0.000 0.000

DOS(E_F) = 1.476 states/eV/f.u.
Size of the total moment = 0.00 Bohr magnetons per cell
Symmetry = I4/mmm, No. 139
Calculated volume = 12.734 Å³ per atom
ΔE to the lowest computed polymorph = 0.028 eV per atom
E = -57.844 eV for the cell shown
Formation energy without anion corrections = -52 kJ/mol of formula units

---

Entry from Alexandria: LiSn3Mo at its PBEsol-relaxed geometry (meta-GGA SCAN).

a = 5.231 Å, b = 5.231 Å, c = 5.231 Å
α = 90.00°, β = 90.00°, γ = 90.00°
Sites, in units of the cell vectors:
Mo1 0.000 0.000 0.000
Sn1 0.000 0.500 0.000
Sn2 0.000 0.000 0.500
Sn3 0.500 0.000 0.000
Li1 0.500 0.500 0.500

DOS(E_F) = 2.109 states/eV/f.u.
Size of the total moment = 0.00 Bohr magnetons per cell
Symmetry = Pm-3m, No. 221
Calculated volume = 28.629 Å³ per atom
ΔE to the lowest computed polymorph = 0.000 eV per atom
Energy of formation = 0.23 eV/atom
E = -143.894 eV for the cell shown

---

Entry from Alexandria: LiSn3Mo at its PBEsol-relaxed geometry (meta-GGA SCAN).

a = 4.828 Å, b = 4.828 Å, c = 4.828 Å
α = 90.00°, β = 90.00°, γ = 90.00°
Last column: magnetic moment on the atom in μB.
Sites, in units of the cell vectors:
Mo1 0.500 0.500 0.500  3.61
Sn1 0.000 0.500 0.000  -0.04
Sn2 0.000 0.000 0.500  -0.04
Sn3 0.500 0.000 0.000  -0.04
Li1 0.000 0.000 0.000  0.02

DOS(E_F) = 1.921 states/eV/f.u.
Size of the total moment = 3.86 Bohr magnetons per cell
Symmetry = Pm-3m, No. 221
Calculated volume = 22.506 Å³ per atom
ΔE to the lowest computed polymorph = 0.586 eV per atom
Energy of formation = 0.81 eV/atom
E = -140.964 eV for the cell shown

---

Entry from Alexandria: SrLiMo2 at its PBEsol-relaxed geometry (meta-GGA SCAN).

a = 3.779 Å, b = 3.779 Å, c = 5.280 Å
α = 90.00°, β = 90.00°, γ = 90.00°
Sites, in units of the cell vectors:
Li1 0.000 0.000 0.500
Mo1 0.000 0.500 0.000
Mo2 0.500 0.000 0.000
Sr1 0.500 0.500 0.500

DOS(E_F) = 3.397 states/eV/f.u.
Size of the total moment = 0.00 Bohr magnetons per cell
Symmetry = P4/mmm, No. 123
Calculated volume = 18.851 Å³ per atom
ΔE to the lowest computed polymorph = 0.233 eV per atom
Energy of formation = 0.95 eV/atom
E = -90.637 eV for the cell shown

---

Entry from Alexandria: Sr2LiMo at its PBEsol-relaxed geometry (meta-GGA SCAN).

a = 3.803 Å, b = 5.569 Å, c = 5.569 Å
α = 89.99°, β = 90.00°, γ = 90.00°
Last column: magnetic moment on the atom in μB.
Sites, in units of the cell vectors:
Li1 0.500 0.000 0.000  -0.02
Mo1 0.500 0.500 0.500  3.01
Sr1 0.000 0.500 0.000  0.01
Sr2 0.000 0.000 0.500  0.01

DOS(E_F) = 2.167 states/eV/f.u.
Size of the total moment = 3.26 Bohr magnetons per cell
Symmetry = P4/mmm, No. 123
Calculated volume = 29.490 Å³ per atom
ΔE to the lowest computed polymorph = 0.000 eV per atom
Energy of formation = 0.71 eV/atom
E = -78.976 eV for the cell shown

---

Entry from Alexandria: SrLi2Mo at its PBEsol-relaxed geometry (meta-GGA SCAN).

a = 2.907 Å, b = 2.907 Å, c = 9.614 Å
α = 90.00°, β = 90.00°, γ = 90.00°
Last column: magnetic moment on the atom in μB.
Sites, in units of the cell vectors:
Li1 0.000 0.000 0.039  0.01
Li2 0.500 0.500 0.264  0.00
Mo1 0.000 0.000 0.468  0.07
Sr1 0.500 0.500 0.729  -0.05

DOS(E_F) = 2.372 states/eV/f.u.
Size of the total moment = 0.06 Bohr magnetons per cell
Symmetry = P4mm, No. 99
Calculated volume = 20.312 Å³ per atom
ΔE to the lowest computed polymorph = 0.000 eV per atom
Energy of formation = 0.70 eV/atom
E = -59.127 eV for the cell shown

---

Entry from Alexandria: SrLi2Mo at its PBEsol-relaxed geometry (meta-GGA SCAN).

a = 2.904 Å, b = 5.342 Å, c = 6.397 Å
α = 114.68°, β = 103.12°, γ = 90.00°
Last column: magnetic moment on the atom in μB.
Sites, in units of the cell vectors:
Li1 0.784 0.784 0.568  0.00
Li2 0.216 0.216 0.432  0.00
Mo1 0.500 0.000 0.000  0.69
Sr1 0.000 0.500 0.000  -0.01

DOS(E_F) = 2.798 states/eV/f.u.
Size of the total moment = 0.63 Bohr magnetons per cell
Symmetry = Immm, No. 71
Calculated volume = 21.827 Å³ per atom
ΔE to the lowest computed polymorph = 0.148 eV per atom
Energy of formation = 0.85 eV/atom
E = -58.533 eV for the cell shown

---

Entry from Alexandria: SrLiMo2 at its PBEsol-relaxed geometry (meta-GGA SCAN).

a = 2.987 Å, b = 2.987 Å, c = 9.918 Å
α = 90.00°, β = 90.00°, γ = 113.43°
Sites, in units of the cell vectors:
Li1 0.500 0.500 0.208
Mo1 0.000 0.000 0.978
Mo2 0.500 0.500 0.794
Sr1 0.000 0.000 0.520

DOS(E_F) = 3.148 states/eV/f.u.
Size of the total moment = 0.08 Bohr magnetons per cell
Symmetry = Cmm2, No. 35
Calculated volume = 20.294 Å³ per atom
ΔE to the lowest computed polymorph = 0.000 eV per atom
Energy of formation = 0.72 eV/atom
E = -91.569 eV for the cell shown

---

Entry from Alexandria: Sr3LiMo at its PBEsol-relaxed geometry (meta-GGA SCAN).

a = 5.918 Å, b = 5.918 Å, c = 5.918 Å
α = 90.00°, β = 90.00°, γ = 90.00°
Last column: magnetic moment on the atom in μB.
Sites, in units of the cell vectors:
Sr1 0.000 0.500 0.000  -0.02
Sr2 0.000 0.000 0.500  -0.02
Sr3 0.500 0.000 0.000  -0.02
Mo1 0.500 0.500 0.500  4.04
Li1 0.000 0.000 0.000  -0.04

DOS(E_F) = 4.923 states/eV/f.u.
Size of the total moment = 4.71 Bohr magnetons per cell
Symmetry = Pm-3m, No. 221
Calculated volume = 41.457 Å³ per atom
Energy of formation = 1.02 eV/atom
E = -99.014 eV for the cell shown

---

Entry from Alexandria: Sr2LiMo at its PBEsol-relaxed geometry (meta-GGA SCAN).

a = 3.727 Å, b = 5.487 Å, c = 6.571 Å
α = 114.68°, β = 106.47°, γ = 90.00°
Last column: magnetic moment on the atom in μB.
Sites, in units of the cell vectors:
Li1 0.544 0.544 0.088  0.00
Mo1 0.225 0.725 0.450  2.86
Sr1 0.970 0.970 0.940  -0.02
Sr2 0.761 0.261 0.522  0.00

DOS(E_F) = 3.325 states/eV/f.u.
Size of the total moment = 3.04 Bohr magnetons per cell
Symmetry = Imm2, No. 44
Calculated volume = 29.002 Å³ per atom
ΔE to the lowest computed polymorph = 0.050 eV per atom
Energy of formation = 0.76 eV/atom
E = -78.777 eV for the cell shown

---

Entry from Alexandria: LiTaMo2 at its PBEsol-relaxed geometry (meta-GGA SCAN).

a = 3.261 Å, b = 4.240 Å, c = 4.349 Å
α = 90.00°, β = 90.00°, γ = 90.00°
Sites, in units of the cell vectors:
Li1 0.000 0.500 0.500
Mo1 0.000 0.000 0.000
Mo2 0.500 0.500 0.000
Ta1 0.500 0.000 0.500

DOS(E_F) = 3.318 states/eV/f.u.
Size of the total moment = 0.00 Bohr magnetons per cell
Symmetry = Pmmm, No. 47
Calculated volume = 15.032 Å³ per atom
ΔE to the lowest computed polymorph = 0.009 eV per atom
Energy of formation = 0.32 eV/atom
E = -137.457 eV for the cell shown

---

Entry from Alexandria: LiTa3Mo at its PBEsol-relaxed geometry (meta-GGA SCAN).

a = 4.340 Å, b = 4.340 Å, c = 4.340 Å
α = 90.00°, β = 90.00°, γ = 90.00°
Sites, in units of the cell vectors:
Mo1 0.500 0.500 0.500
Li1 0.000 0.000 0.000
Ta1 0.000 0.500 0.000
Ta2 0.000 0.000 0.500
Ta3 0.500 0.000 0.000

DOS(E_F) = 4.852 states/eV/f.u.
Size of the total moment = 0.00 Bohr magnetons per cell
Symmetry = Pm-3m, No. 221
Calculated volume = 16.346 Å³ per atom
Energy of formation = 1.28 eV/atom
E = -230.628 eV for the cell shown

---

Entry from Alexandria: Li2TaMo at its PBEsol-relaxed geometry (meta-GGA SCAN).

a = 2.956 Å, b = 4.264 Å, c = 5.672 Å
α = 112.02°, β = 105.11°, γ = 90.00°
Sites, in units of the cell vectors:
Li1 0.756 0.756 0.512
Li2 0.244 0.244 0.488
Mo1 0.500 0.000 0.000
Ta1 0.000 0.500 0.000

DOS(E_F) = 2.026 states/eV/f.u.
Size of the total moment = 0.00 Bohr magnetons per cell
Symmetry = Immm, No. 71
Calculated volume = 15.904 Å³ per atom
ΔE to the lowest computed polymorph = 0.000 eV per atom
Energy of formation = 0.34 eV/atom
E = -104.879 eV for the cell shown

---

Entry from Alexandria: LiTa2Mo at its PBEsol-relaxed geometry (meta-GGA SCAN).

a = 3.261 Å, b = 3.261 Å, c = 5.857 Å
α = 90.00°, β = 90.00°, γ = 90.00°
Sites, in units of the cell vectors:
Li1 0.000 0.000 0.510
Mo1 0.500 0.500 0.739
Ta1 0.000 0.000 0.987
Ta2 0.500 0.500 0.265

DOS(E_F) = 3.495 states/eV/f.u.
Size of the total moment = 0.00 Bohr magnetons per cell
Symmetry = P4mm, No. 99
Calculated volume = 15.573 Å³ per atom
Energy of formation = 0.33 eV/atom
E = -169.128 eV for the cell shown

---

Entry from Alexandria: Li3TaMo at its PBEsol-relaxed geometry (meta-GGA SCAN).

a = 4.328 Å, b = 4.328 Å, c = 4.328 Å
α = 90.00°, β = 90.00°, γ = 90.00°
Last column: magnetic moment on the atom in μB.
Sites, in units of the cell vectors:
Mo1 0.000 0.000 0.000  2.90
Li1 0.000 0.500 0.000  0.07
Li2 0.000 0.000 0.500  0.07
Li3 0.500 0.000 0.000  0.07
Ta1 0.500 0.500 0.500  -0.86

DOS(E_F) = 1.901 states/eV/f.u.
Size of the total moment = 1.84 Bohr magnetons per cell
Symmetry = Pm-3m, No. 221
Calculated volume = 16.216 Å³ per atom
ΔE to the lowest computed polymorph = 0.000 eV per atom
Energy of formation = 1.75 eV/atom
E = -99.878 eV for the cell shown

---

Entry from Alexandria: LiTaMo2 at its PBEsol-relaxed geometry (meta-GGA SCAN).

a = 2.576 Å, b = 4.380 Å, c = 5.540 Å
α = 90.00°, β = 90.00°, γ = 90.00°
Sites, in units of the cell vectors:
Li1 0.500 0.500 0.751
Mo1 0.000 0.000 0.005
Mo2 0.500 0.500 0.242
Ta1 0.000 0.000 0.502

DOS(E_F) = 3.153 states/eV/f.u.
Size of the total moment = 0.00 Bohr magnetons per cell
Symmetry = Pmm2, No. 25
Calculated volume = 15.629 Å³ per atom
ΔE to the lowest computed polymorph = 0.084 eV per atom
Energy of formation = 0.40 eV/atom
E = -137.155 eV for the cell shown

---

Entry from Alexandria: Li2TaMo at its PBEsol-relaxed geometry (meta-GGA SCAN).

a = 4.918 Å, b = 5.530 Å, c = 5.530 Å
α = 78.60°, β = 63.60°, γ = 63.60°
Sites, in units of the cell vectors:
Mo1 0.250 0.500 0.500
Mo2 0.500 0.000 0.000
Li1 0.134 0.991 0.491
Li2 0.616 0.009 0.509
Li3 0.375 0.491 0.009
Li4 0.875 0.509 0.991
Ta1 0.750 0.500 0.500
Ta2 0.000 0.000 0.000

DOS(E_F) = 2.602 states/eV/f.u.
Size of the total moment = 0.00 Bohr magnetons per cell
Symmetry = I-42d, No. 122
Calculated volume = 15.080 Å³ per atom
ΔE to the lowest computed polymorph = 0.585 eV per atom
Energy of formation = 0.93 eV/atom
E = -205.078 eV for the cell shown

---

Entry from Alexandria: Li2TaMo at its PBEsol-relaxed geometry (meta-GGA SCAN).

a = 4.260 Å, b = 4.260 Å, c = 4.260 Å
α = 60.00°, β = 60.00°, γ = 60.00°
Sites, in units of the cell vectors:
Li1 0.250 0.250 0.250
Li2 0.750 0.750 0.750
Mo1 0.000 0.000 0.000
Ta1 0.500 0.500 0.500

DOS(E_F) = 3.598 states/eV/f.u.
Size of the total moment = 0.01 Bohr magnetons per cell
Symmetry = Fm-3m, No. 225
Calculated volume = 13.670 Å³ per atom
ΔE to the lowest computed polymorph = 0.476 eV per atom
Energy of formation = 0.82 eV/atom
E = -102.976 eV for the cell shown

---

Entry from Alexandria: Li2TaMo at its PBEsol-relaxed geometry (meta-GGA SCAN).

a = 2.503 Å, b = 4.434 Å, c = 5.887 Å
α = 90.00°, β = 90.00°, γ = 90.00°
Sites, in units of the cell vectors:
Li1 0.000 0.000 0.011
Li2 0.500 0.500 0.243
Mo1 0.000 0.000 0.516
Ta1 0.500 0.500 0.730

DOS(E_F) = 2.719 states/eV/f.u.
Size of the total moment = 0.00 Bohr magnetons per cell
Symmetry = Pmm2, No. 25
Calculated volume = 16.335 Å³ per atom
ΔE to the lowest computed polymorph = 0.058 eV per atom
Energy of formation = 0.40 eV/atom
E = -104.646 eV for the cell shown

---

Entry from Alexandria: LiTaMo2 at its PBEsol-relaxed geometry (meta-GGA SCAN).

a = 3.182 Å, b = 3.182 Å, c = 5.910 Å
α = 90.00°, β = 90.00°, γ = 90.00°
Sites, in units of the cell vectors:
Li1 0.500 0.500 0.759
Mo1 0.000 0.000 0.995
Mo2 0.500 0.500 0.240
Ta1 0.000 0.000 0.506

DOS(E_F) = 2.484 states/eV/f.u.
Size of the total moment = 0.00 Bohr magnetons per cell
Symmetry = P4mm, No. 99
Calculated volume = 14.961 Å³ per atom
ΔE to the lowest computed polymorph = 0.000 eV per atom
Energy of formation = 0.31 eV/atom
E = -137.492 eV for the cell shown